A geometry-optimized ErPaNiRh structure, computed with PBE.

Lattice parameters (Å, degrees): 4.4712 3.5647 10.0646 90.00 90.00 90.00
Space group Amm2 (No. 38)
Unique sites:
Er: 0.0000 0.0000 0.0000
Pa: 0.5000 0.0000 0.7237
Ni: 0.0000 0.0000 0.2720
Rh: 0.5000 0.0000 0.4482

Calculated values
excess energy over the best structure of this formula in the dataset = 0.000 eV/atom
V = 160 Å³ per cell
Fermi-level density of states = 8.97 states/eV per cell
energy of formation from the pure elements = -614.7 meV/atom

=====

A geometry-optimized Rb4HgBi3 structure, computed with PBE.

Lattice parameters (Å, degrees): 5.0486 5.7717 13.2517 90.00 90.00 90.00
Space group Pmm2 (No. 25)
Unique sites:
Rb: 0.0000 0.0000 0.0000
Rb: 0.0000 0.5000 0.4962
Rb: 0.5000 0.0000 0.7206
Rb: 0.5000 0.5000 0.2195
Hg: 0.0000 0.5000 0.7955
Bi: 0.0000 0.0000 0.2931
Bi: 0.5000 0.0000 0.4277
Bi: 0.5000 0.5000 0.9160

Calculated values
V = 386 Å³ per cell
Fermi-level density of states = 4.24 states/eV per cell
energy of formation from the pure elements = -308.3 meV/atom

=====

A geometry-optimized SmPuPa2As4 structure, computed with PBE.

Lattice parameters (Å, degrees): 5.8418 5.8418 11.7003 90.00 90.00 90.00
Space group I-4m2 (No. 119)
Unique sites:
Sm: 0.0000 0.0000 0.0000
Pu: 0.0000 0.5000 0.7500
Pa: 0.0000 0.0000 0.5000
Pa: 0.0000 0.5000 0.2500
As: 0.0000 0.0000 0.2541
As: 0.0000 0.5000 0.0023

Calculated values
V = 399 Å³ per cell
Fermi-level density of states = 30.69 states/eV per cell
energy of formation from the pure elements = -1172.7 meV/atom

=====

A geometry-optimized KGa3Br9 structure, computed with PBE.

Lattice parameters (Å, degrees): 18.6479 10.3358 14.7679 90.00 129.03 90.00
Space group Cc (No. 9)
Unique sites:
K: 0.0000 0.1869 0.0000
Ga: 0.1775 0.1166 0.8461
Ga: 0.3008 0.3992 0.7847
Ga: 0.4264 0.0769 0.7332
Br: 0.0340 0.1008 0.8036
Br: 0.0431 0.3113 0.2381
Br: 0.1668 0.3441 0.7751
Br: 0.1979 0.0246 0.2408
Br: 0.2790 0.3819 0.2333
Br: 0.2883 0.2657 0.6439
Br: 0.3035 0.1169 0.0478
Br: 0.4374 0.3669 0.9723
Br: 0.4896 0.0024 0.4253

Calculated values
raw formation energy = -11.5 eV/f.u.
V = 2211 Å³ per cell
Fermi-level density of states = 9.30 states/eV per cell

=====

A geometry-optimized PrGd2Ga structure, computed with PBE.

Lattice parameters (Å, degrees): 3.5932 3.5932 9.0082 90.00 90.00 90.00
Space group P4/mmm (No. 123)
Unique sites:
Pr: 0.0000 0.0000 0.0000
Gd: 0.5000 0.5000 0.2965
Ga: 0.0000 0.0000 0.5000

Calculated values
excess energy over the best structure of this formula in the dataset = 0.000 eV/atom
V = 116 Å³ per cell
Fermi-level density of states = 4.78 states/eV per cell
energy of formation from the pure elements = -283.3 meV/atom

=====

A geometry-optimized Ac3Sm3Ho2 structure, computed with PBE.

Lattice parameters (Å, degrees): 10.1007 10.1007 6.8392 90.00 90.00 120.00
Space group P6_3/mcm (No. 193)
Unique sites:
Ac: 0.0000 0.2370 0.2500
Sm: 0.0000 0.4136 0.7500
Ho: 0.3333 0.6667 0.0000

Calculated values
V = 604 Å³ per cell
Fermi-level density of states = 34.08 states/eV per cell
energy of formation from the pure elements = 163.4 meV/atom

=====

A geometry-optimized HoTmMgZn structure, computed with PBE.

Lattice parameters (Å, degrees): 3.5353 3.5353 7.8544 90.00 90.00 90.00
Space group P4mm (No. 99)
Unique sites:
Ho: 0.0000 0.0000 0.0000
Tm: 0.0000 0.0000 0.4423
Mg: 0.5000 0.5000 0.7189
Zn: 0.5000 0.5000 0.2253

Calculated values
excess energy over the best structure of this formula in the dataset = 0.000 eV/atom
V = 98 Å³ per cell
Fermi-level density of states = 3.98 states/eV per cell
energy of formation from the pure elements = -205.7 meV/atom

=====

A geometry-optimized TlSn2Br5 structure, computed with PBE.

Lattice parameters (Å, degrees): 8.4409 8.4409 14.8413 90.00 90.00 90.00
Space group I4/mcm (No. 140)
Unique sites:
Tl: 0.0000 0.0000 0.2500
Sn: 0.1761 0.3239 0.0000
Br: 0.0000 0.0000 0.0000
Br: 0.1607 0.3393 0.3652

Calculated values
raw formation energy = -6.3 eV/f.u.
excess energy over the best structure of this formula in the dataset = 0.000 eV/atom
V = 1057 Å³ per cell
Fermi-level density of states = 0.00 states/eV per cell

=====

A geometry-optimized Te2Pd2Au structure, computed with PBE.

Lattice parameters (Å, degrees): 7.6950 7.6950 3.6123 90.00 90.00 90.00
Space group P4/mbm (No. 127)
Unique sites:
Te: 0.1749 0.3251 0.0000
Pd: 0.1283 0.6283 0.5000
Au: 0.0000 0.0000 0.0000

Calculated values
raw formation energy = -0.2 eV/f.u.
V = 214 Å³ per cell
Fermi-level density of states = 4.99 states/eV per cell

=====

A geometry-optimized Li2AcZnHg4 structure, computed with PBE.

Lattice parameters (Å, degrees): 4.6960 4.6960 29.0991 90.00 90.00 120.00
Space group R-3m (No. 166, hexagonal axes)
Unique sites:
Li: 0.0000 0.0000 0.2272
Ac: 0.0000 0.0000 0.0000
Zn: 0.0000 0.0000 0.5000
Hg: 0.0000 0.0000 0.1269
Hg: 0.0000 0.0000 0.3997

Calculated values
V = 556 Å³ per cell
Fermi-level density of states = 14.09 states/eV per cell
energy of formation from the pure elements = -315.8 meV/atom

=====

A geometry-optimized Pm4ErSn2 structure, computed with PBE.

Lattice parameters (Å, degrees): 5.4547 5.4547 27.9761 90.00 90.00 120.00
Space group R-3m (No. 166, hexagonal axes)
Unique sites:
Pm: 0.0000 0.0000 0.1245
Pm: 0.0000 0.0000 0.2801
Er: 0.0000 0.0000 0.5000
Sn: 0.0000 0.0000 0.3932

Calculated values
V = 721 Å³ per cell
Fermi-level density of states = 24.14 states/eV per cell
energy of formation from the pure elements = -255.4 meV/atom

=====

A geometry-optimized ZnP2W structure, computed with PBE.

Lattice parameters (Å, degrees): 5.5516 6.5010 3.1488 90.00 90.00 90.00
Space group Cmmm (No. 65)
Unique sites:
Zn: 0.0000 0.0000 0.0000
P: 0.2500 0.2500 0.5000
W: 0.0000 0.5000 0.0000

Calculated values
V = 114 Å³ per cell
Fermi-level density of states = 4.27 states/eV per cell
energy of formation from the pure elements = 323.6 meV/atom

=====

A geometry-optimized BeRhPb2 structure, computed with PBE.

Lattice parameters (Å, degrees): 3.4963 3.4963 6.5277 90.00 90.00 90.00
Space group P4/mmm (No. 123)
Unique sites:
Be: 0.0000 0.0000 0.0000
Rh: 0.0000 0.0000 0.5000
Pb: 0.5000 0.5000 0.2535

Calculated values
V = 80 Å³ per cell
Fermi-level density of states = 1.34 states/eV per cell
energy of formation from the pure elements = 416.6 meV/atom

=====

A geometry-optimized Fe2H2Ir structure, computed with PBE.

Lattice parameters (Å, degrees): 2.7403 2.7403 11.4303 90.00 90.00 90.00
Space group I4/mmm (No. 139)
Unique sites:
Fe: 0.0000 0.0000 0.1566
H: 0.0000 0.5000 0.2500
Ir: 0.0000 0.0000 0.5000

Calculated values
excess energy over the best structure of this formula in the dataset = 0.000 eV/atom
V = 86 Å³ per cell
Fermi-level density of states = 10.34 states/eV per cell

=====

A geometry-optimized MnTc2RuN structure, computed with PBE.

Lattice parameters (Å, degrees): 4.0101 4.0101 3.8761 90.00 90.00 90.00
Space group P4/mmm (No. 123)
Unique sites:
Mn: 0.0000 0.0000 0.0000
Tc: 0.0000 0.5000 0.5000
Ru: 0.5000 0.5000 0.0000
N: 0.0000 0.0000 0.5000

Calculated values
raw formation energy = 0.2 eV/f.u.
V = 62 Å³ per cell
Fermi-level density of states = 5.84 states/eV per cell

=====

A geometry-optimized RbNa2MnI6 structure, computed with PBE.

Lattice parameters (Å, degrees): 7.7132 7.9678 7.9868 71.39 68.17 74.99
Space group P1 (No. 1)
Unique sites:
Rb: 0.0000 0.0000 0.0000
Na: 0.2530 0.1635 0.3478
Na: 0.6274 0.6597 0.9365
Mn: 0.1634 0.6010 0.6227
I: 0.0300 0.5069 0.0057
I: 0.3959 0.7932 0.6336
I: 0.4563 0.4411 0.3786
I: 0.5012 0.0379 0.9999
I: 0.9304 0.4065 0.6177
I: 0.9373 0.9098 0.5050

Calculated values
raw formation energy = -9.0 eV/f.u.
V = 426 Å³ per cell

=====

A geometry-optimized Pu2OsF structure, computed with PBE.

Lattice parameters (Å, degrees): 3.1811 3.1811 7.5397 90.00 90.00 90.00
Space group P4/mmm (No. 123)
Unique sites:
Pu: 0.0000 0.0000 0.2437
Os: 0.5000 0.5000 0.0000
F: 0.5000 0.5000 0.5000

Calculated values
raw formation energy = -4.0 eV/f.u.
V = 76 Å³ per cell
Fermi-level density of states = 10.33 states/eV per cell

=====

A geometry-optimized Sm3Ga8Ru3 structure, computed with PBE.

Lattice parameters (Å, degrees): 4.2514 9.8119 12.6506 90.00 90.00 90.00
Space group Immm (No. 71)
Unique sites:
Sm: 0.0000 0.0000 0.0000
Sm: 0.0000 0.0000 0.3311
Ga: 0.0000 0.2856 0.1183
Ga: 0.0000 0.3644 0.3301
Ru: 0.0000 0.2277 0.5000
Ru: 0.0000 0.5000 0.0000

Calculated values
V = 528 Å³ per cell
Fermi-level density of states = 12.51 states/eV per cell
energy of formation from the pure elements = -539.2 meV/atom

=====

A geometry-optimized RbTe2Ru structure, computed with PBE.

Lattice parameters (Å, degrees): 4.0376 4.0376 29.3232 90.00 90.00 120.00
Space group R-3m (No. 166, hexagonal axes)
Unique sites:
Rb: 0.0000 0.0000 0.0000
Te: 0.0000 0.0000 0.1203
Ru: 0.0000 0.0000 0.5000

Calculated values
raw formation energy = -0.6 eV/f.u.
excess energy over the best structure of this formula in the dataset = 0.144 eV/atom
V = 414 Å³ per cell
Fermi-level density of states = 14.71 states/eV per cell

=====

A geometry-optimized La3BeW structure, computed with PBE.

Lattice parameters (Å, degrees): 5.5417 5.5417 5.5417 90.00 90.00 90.00
Space group Pm-3m (No. 221)
Unique sites:
La: 0.0000 0.0000 0.5000
Be: 0.5000 0.5000 0.5000
W: 0.0000 0.0000 0.0000

Calculated values
excess energy over the best structure of this formula in the dataset = 0.000 eV/atom
V = 170 Å³ per cell
Fermi-level density of states = 6.66 states/eV per cell
energy of formation from the pure elements = 793.4 meV/atom